<a>
Here is a relaxed Dy5Lu2Te2Pd2 crystal from OQMD. Energies are from PBE.

Output
Its calculated density is 9.2 Mg/m³. As for the space group: Imm2.

Structure (extended XYZ):
```
11
Lattice="-1.9690 7.8184 4.7754 1.9690 -7.8184 4.7754 1.9690 7.8184 -4.7754" Properties=species:S:1:pos:R:3 pbc="T T T"
Dy 0.0000 0.0000 9.5258
Dy 0.0000 4.9763 3.5620
Dy 1.9690 -2.2467 2.2510
Dy 1.9690 2.2467 2.2510
Dy 1.9690 2.8420 -1.2134
Lu 0.0000 2.0416 5.5643
Lu 1.9690 5.7767 0.7889
Pd 0.0000 3.7512 0.6544
Pd 0.0000 11.8855 0.6544
Te 0.0000 0.0000 3.2552
Te 0.0000 7.8184 2.1858
```


<b>
Here is a relaxed Dy5Lu2Te2Pd2 crystal from OQMD. Energies are from PBE.

Output
Its calculated density is 9.2 Mg/m³. As for the space group: Imm2.

Structure (extended XYZ):
```
11
Lattice="-1.9687 7.7965 4.7939 1.9687 -7.7965 4.7939 1.9687 7.7965 -4.7939" Properties=species:S:1:pos:R:3 pbc="T T T"
Dy 0.0000 2.2479 7.0441
Dy 0.0000 5.7692 5.5884
Dy 1.9687 0.0000 4.7818
Dy 1.9687 2.0273 0.7945
Dy 1.9687 5.5486 2.2502
Lu 0.0000 2.8460 3.5879
Lu 1.9687 4.9505 -1.2061
Pd 0.0000 4.1214 0.6334
Pd 0.0000 11.4716 0.6334
Te 0.0000 0.0000 2.2605
Te 0.0000 7.7965 3.2260
```


Ordering by calculated energy gives the sequence <b>, <a>, with the first entry being the most stable.


<a>
Here is a relaxed Dy2Lu5Te2Pd2 crystal from OQMD. Energies are from PBE.

Output
Its calculated density is 9.6 Mg/m³. As for the space group: Imm2.

Structure (extended XYZ):
```
11
Lattice="2.4825 -2.8542 8.4852 5.4120 6.1901 -4.3244 -7.2399 -2.8217 5.0921" Properties=species:S:1:pos:R:3 pbc="T T T"
Dy 0.4022 -1.1355 5.9403
Dy -0.9667 -2.7687 9.8468
Lu 0.0073 0.0031 0.0039
Lu 2.6627 0.6445 3.5126
Lu 3.4341 0.2861 6.9221
Lu -0.7817 1.0723 3.3837
Lu -3.3296 -0.6887 5.0438
Pd 3.7632 4.6197 -1.3595
Pd 1.2737 1.6496 5.7452
Te 5.2029 2.1985 2.7422
Te 1.1943 2.5751 1.4950
```


<b>
Here is a relaxed Dy2Lu5Te2Pd2 crystal from OQMD. Energies are from PBE.

Output
Its calculated density is 9.6 Mg/m³. As for the space group: Imm2.

Structure (extended XYZ):
```
11
Lattice="2.9448 -8.6440 -1.7397 3.5548 4.4417 7.3521 -6.2818 -5.0404 -4.6423" Properties=species:S:1:pos:R:3 pbc="T T T"
Dy 1.8133 -4.0683 0.9259
Dy -3.2486 -4.1057 -1.3832
Lu 4.2805 -5.0258 3.1972
Lu 2.5486 -7.5019 0.9072
Lu 1.8848 -2.3996 4.1598
Lu -1.2670 -2.4287 0.9815
Lu -1.0499 -6.1649 0.3744
Pd -0.4116 -3.9023 -1.2765
Pd -1.9925 -10.3852 -4.2999
Te 1.5013 -0.9707 1.2964
Te 0.5376 -8.2686 -1.2860
```


Ordering by calculated energy gives the sequence <a>, <b>, with the first entry being the most stable.


<a>
Here is a relaxed DyLuZn2Sn2 crystal from OQMD. Energies are from PBE.

Output
Its calculated density is 8.6 Mg/m³. As for the space group: P6_3/mmc.

Structure (extended XYZ):
```
12
Lattice="-2.2888 -2.7886 -2.6708 3.9796 1.6062 -1.3155 7.1161 -12.1967 6.6361" Properties=species:S:1:pos:R:3 pbc="T T T"
Dy 1.7790 -3.0492 1.6590
Dy 5.3371 -9.1475 4.9771
Lu 0.0000 0.0000 0.0000
Lu 3.5581 -6.0983 3.3180
Sn 2.6788 -1.2105 -1.0318
Sn 4.6596 -4.6053 0.8153
Sn 4.1474 -8.7737 1.8345
Sn 6.1282 -12.1686 3.6816
Zn 0.9420 -3.2798 -1.1548
Zn 2.2175 -5.4659 0.0347
Zn 6.5895 -7.9132 2.6151
Zn 7.8650 -10.0993 3.8045
```


<b>
Here is a relaxed DyLuZn2Sn2 crystal from OQMD. Energies are from PBE.

Output
Its calculated density is 8.6 Mg/m³. As for the space group: P6_3/mmc.

Structure (extended XYZ):
```
12
Lattice="4.4782 0.0000 0.0000 -2.2391 3.8783 0.0000 0.0000 0.0000 15.6218" Properties=species:S:1:pos:R:3 pbc="T T T"
Dy 0.0000 0.0000 0.0000
Dy 0.0000 0.0000 7.8109
Lu 0.0000 0.0000 3.9055
Lu 0.0000 0.0000 11.7164
Sn 0.0000 2.5855 1.7850
Sn 0.0000 2.5855 6.0259
Sn 2.2391 1.2927 9.5960
Sn 2.2391 1.2927 13.8368
Zn 2.2391 1.2927 2.5339
Zn 2.2391 1.2927 5.2770
Zn 0.0000 2.5855 10.3448
Zn 0.0000 2.5855 13.0879
```


Ordering by calculated energy gives the sequence <b>, <a>, with the first entry being the most stable.


<a>
Here is a relaxed Dy2Mg crystal from OQMD. Energies are from PBE.

Output
Its calculated density is 5.8 Mg/m³. As for the space group: Fm-3m.

Structure (extended XYZ):
```
3
Lattice="-1.6543 -4.6377 1.7354 0.9999 -1.4570 4.9127 -3.8759 -0.2506 3.4887" Properties=species:S:1:pos:R:3 pbc="T T T"
Dy -1.1326 -1.5863 2.5342
Dy -3.3978 -4.7590 7.6025
Mg 0.0000 0.0000 0.0000
```


<b>
Here is a relaxed Dy2Mg crystal from OQMD. Energies are from PBE.

Output
Its calculated density is 6.3 Mg/m³. As for the space group: Fd-3m.

Structure (extended XYZ):
```
6
Lattice="0.0000 4.5098 4.5098 4.5098 0.0000 4.5098 4.5098 4.5098 0.0000" Properties=species:S:1:pos:R:3 pbc="T T T"
Dy 3.3824 3.3824 5.6373
Dy 3.3824 5.6373 3.3824
Dy 5.6373 3.3824 3.3824
Dy 5.6373 5.6373 5.6373
Mg 0.0000 0.0000 0.0000
Mg 2.2549 2.2549 2.2549
```


Ordering by calculated energy gives the sequence <b>, <a>, with the first entry being the most stable.


<a>
Here is a relaxed Dy2Mg crystal from OQMD. Energies are from PBE.

Output
Its calculated density is 5.4 Mg/m³. As for the space group: P4_2/mnm.

Structure (extended XYZ):
```
6
Lattice="-4.4643 2.2623 3.8561 -4.3580 -0.9861 -4.4669 -0.8428 -4.9135 1.9070" Properties=species:S:1:pos:R:3 pbc="T T T"
Dy -2.8532 0.4127 -0.1975
Dy -5.9691 0.8635 -0.4132
Dy -4.8669 -0.7681 3.3398
Dy -4.7982 -2.8692 -2.0436
Mg 0.0000 0.0000 0.0000
Mg -4.8326 -1.8187 0.6481
```


<b>
Here is a relaxed Dy2Mg crystal from OQMD. Energies are from PBE.

Output
Its calculated density is 1.9 Mg/m³. As for the space group: Fd-3m.

Structure (extended XYZ):
```
6
Lattice="4.7223 2.7264 7.7115 -4.7223 2.7264 7.7115 0.0000 -5.4528 7.7115" Properties=species:S:1:pos:R:3 pbc="T T T"
Dy 2.3612 1.3632 12.5312
Dy -2.3612 1.3632 12.5312
Dy 0.0000 0.0000 8.6754
Dy 0.0000 -2.7264 12.5312
Mg 0.0000 0.0000 5.7836
Mg 0.0000 0.0000 11.5672
```


Ordering by calculated energy gives the sequence <a>, <b>, with the first entry being the most stable.


<a>
Here is a relaxed DyMgNO crystal from OQMD. Energies are from PBE.

Output
Its calculated density is 7.1 Mg/m³. As for the space group: P4/nmm.

Structure (extended XYZ):
```
8
Lattice="-1.0609 4.1850 -1.9201 -4.5292 -1.3033 -0.3382 -0.7938 1.6892 4.1205" Properties=species:S:1:pos:R:3 pbc="T T T"
Dy -2.3249 3.6576 0.5356
Dy -4.0590 0.9134 1.3266
Mg -1.3986 0.7226 -0.5592
Mg -4.9853 3.8483 2.4214
N -1.7935 1.5632 1.4911
N -4.5903 3.0078 0.3711
O -1.9280 2.8129 -1.5246
O -3.6621 0.0688 -0.7337
```


<b>
Here is a relaxed DyMgNO crystal from OQMD. Energies are from PBE.

Output
Its calculated density is 5.9 Mg/m³. As for the space group: Pca2_1.

Structure (extended XYZ):
```
16
Lattice="-1.9646 -4.7400 3.3979 2.5621 -4.4077 -4.6674 4.9652 -0.0620 2.7841" Properties=species:S:1:pos:R:3 pbc="T T T"
Dy 1.4873 -5.9697 2.8405
Dy 3.2228 -4.8955 -0.2306
Dy 4.6569 -4.3433 3.0445
Dy 6.3924 -3.2691 -0.0267
Mg 1.9339 -2.4201 2.2608
Mg 2.9700 -8.2624 0.2829
Mg 5.0271 -0.9778 2.5968
Mg 6.0632 -6.8202 0.6188
N 0.1618 -2.4587 1.1895
N 1.1303 -8.1847 -0.6653
N 3.2575 -1.0104 1.5211
N 4.2260 -6.7365 -0.3336
O -0.4067 -6.0019 1.6654
O 1.2458 -4.7848 -1.2545
O 2.7504 -4.4054 1.8908
O 4.4029 -3.1884 -1.0291
```


<c>
Here is a relaxed DyMgNO crystal from OQMD. Energies are from PBE.

Output
Its calculated density is 6.6 Mg/m³. As for the space group: P4/nmm.

Structure (extended XYZ):
```
8
Lattice="-2.6620 -0.8220 2.5075 -2.0978 -1.5015 -2.7193 3.3108 -6.8967 1.2541" Properties=species:S:1:pos:R:3 pbc="T T T"
Dy -0.6979 -1.6060 0.1335
Dy -0.7512 -7.6142 0.9089
Mg -0.8656 -4.4402 1.8279
Mg -0.5835 -4.7800 -0.7855
N -2.3359 -4.3132 0.3086
N 0.8868 -4.9070 0.7337
O -2.5210 -0.9919 1.2008
O -2.2389 -1.3316 -1.4126
```


Ordering by calculated energy gives the sequence <a>, <b>, <c>, with the first entry being the most stable.